# Sc2Ge2Mo

A relaxed Sc2Ge2Mo crystal (PBE, Alexandria).

Calculated values
space-group type: P4/mbm (127)
uncorrected energy: -7.17 eV per atom
Fermi-level density of states: 7.7 states/eV/cell
calculated formation energy: -621 meV per atom

```
10
Lattice="6.8456 0.0000 0.0000 0.0000 6.8456 0.0000 0.0000 0.0000 3.8502" Properties=species:S:1:pos:R:3 pbc="T T T"
Sc 1.1967 2.2261 0.0000
Sc 2.2261 5.6489 0.0000
Sc 4.6195 1.1967 0.0000
Sc 5.6489 4.6195 0.0000
Ge 0.9079 4.3307 1.9251
Ge 2.5149 0.9079 1.9251
Ge 4.3307 5.9378 1.9251
Ge 5.9378 2.5149 1.9251
Mo 0.0000 0.0000 1.9251
Mo 3.4228 3.4228 1.9251
```